A relaxed BaLi3 crystal, computed with PBE-GGA.

Cell lengths 3.8240, 5.0520, 6.6991 Å; angles 90.00, 90.00, 90.00 degrees
Last column: nearest neighbours and their distance in Å.
Positions (direct):
Ba (0.0000, 0.0000, 0.0122)  10 Li 3.66-3.89, 2 Ba 3.82
Li (0.5000, 0.0000, 0.5071)  6 Li 2.96-3.23
Li (0.5000, 0.5000, 0.7374)  4 Li 2.91-2.96
Li (0.0000, 0.5000, 0.4099)  6 Li 2.91-3.23

Summary:
The space-group type is Pmm2 (25). The calculation puts the total energy at -1.7878 eV per atom. The size of the total moment is 0.00 μB per atom. For the formation energy, the calculation gives 12 kJ per mole of atoms.